## Cu2Pb2Au (PBE)

Data for Cu2Pb2Au after structural relaxation.

ΔE_f: 188 meV/atom
magnetization: 0.00 Bohr magnetons per cell
E above lowest polymorph: 7.7 kJ per mole of atoms
symmetry: I4/mmm, No. 139

Cell lengths 9.1613, 9.1613, 9.1613 Å; angles 158.15, 158.15, 31.09 degrees
Fractional positions:
Cu  0.2500  0.7500  0.5000
Cu  0.7500  0.2500  0.5000
Pb  0.1106  0.1106  0.0000
Pb  0.8894  0.8894  0.0000
Au  0.5000  0.5000  0.0000